Here is a geometry-optimized BaMg6V structure from the Alexandria database. Energies are from PBE.

Values from the calculation:
The value obtained for the formation energy is 2.266 eV/f.u. As for the space-group type: Amm2 (38). The relative energy among the computed polymorphs comes out at 0 meV/atom.

a = 7.3778 Å, b = 7.3778 Å, c = 5.1143 Å
α = 90.00°, β = 90.00°, γ = 128.78°
Site moments in Bohr magnetons follow the coordinates.
Atoms (fractional coordinates):
Mg 0.2870 0.7130 0.0000  0.00
Mg 0.8285 0.6851 0.0000  -0.01
Mg 0.8775 0.1225 0.0000  0.00
Mg 0.3149 0.1715 0.0000  -0.01
Mg 0.6720 0.7973 0.5000  -0.01
Mg 0.2027 0.3280 0.5000  -0.01
Ba 0.7022 0.2978 0.5000  0.01
V 0.1154 0.8846 0.5000  2.77



Here is a geometry-optimized BaMg6V structure from the Alexandria database. Energies are from PBE.

Values from the calculation:
The value obtained for the formation energy is 2.298 eV/f.u. As for the space-group type: Amm2 (38). The relative energy among the computed polymorphs comes out at 4 meV/atom.

a = 7.5792 Å, b = 7.5792 Å, c = 5.0051 Å
α = 90.00°, β = 90.00°, γ = 130.10°
Site moments in Bohr magnetons follow the coordinates.
Atoms (fractional coordinates):
Mg 0.3269 0.1862 0.5000  -0.01
Mg 0.6864 0.8043 0.0000  0.00
Mg 0.8784 0.1216 0.5000  0.00
Mg 0.6905 0.3095 0.0000  -0.01
Mg 0.8138 0.6731 0.5000  -0.01
Mg 0.1957 0.3136 0.0000  0.00
Ba 0.2900 0.7100 0.5000  0.07
V 0.1183 0.8817 0.0000  2.84



Here is a geometry-optimized BaMg3V structure from the Alexandria database. Energies are from PBE.

Values from the calculation:
The value obtained for the formation energy is 1.945 eV/f.u. As for the space-group type: Pm-3m (221). The relative energy among the computed polymorphs comes out at 0 meV/atom.

a = 5.4303 Å, b = 5.4303 Å, c = 5.4303 Å
α = 90.00°, β = 90.00°, γ = 90.00°
Site moments in Bohr magnetons follow the coordinates.
Atoms (fractional coordinates):
V 0.0000 0.0000 0.0000  2.98
Mg 0.5000 0.0000 0.0000  0.04
Mg 0.0000 0.0000 0.5000  0.04
Mg 0.0000 0.5000 0.0000  0.04
Ba 0.5000 0.5000 0.5000  -0.01



Here is a geometry-optimized BaMg14V structure from the Alexandria database. Energies are from PBE.

Values from the calculation:
The value obtained for the formation energy is 2.451 eV/f.u. As for the space-group type: P-6m2 (187). The relative energy among the computed polymorphs comes out at 3 meV/atom.

a = 6.5764 Å, b = 6.5764 Å, c = 10.5003 Å
α = 90.00°, β = 90.00°, γ = 120.00°
Site moments in Bohr magnetons follow the coordinates.
Atoms (fractional coordinates):
Mg 0.0160 0.5080 0.5000  0.00
Mg 0.1678 0.3356 0.7716  -0.01
Mg 0.1678 0.8322 0.7716  -0.01
Mg 0.6644 0.8322 0.2284  -0.01
Mg 0.6644 0.8322 0.7716  -0.01
Mg 0.4920 0.9840 0.5000  0.00
Mg 0.9925 0.4962 0.0000  -0.01
Mg 0.6667 0.3333 0.2624  0.01
Mg 0.1678 0.8322 0.2284  -0.01
Mg 0.5038 0.4962 0.0000  -0.01
Mg 0.5038 0.0075 0.0000  -0.01
Mg 0.1678 0.3356 0.2284  -0.01
Mg 0.4920 0.5080 0.5000  0.00
Mg 0.6667 0.3333 0.7376  0.01
Ba 0.0000 0.0000 0.5000  -0.09
V 0.0000 0.0000 0.0000  2.67



Here is a geometry-optimized BaMg14V structure from the Alexandria database. Energies are from PBE.

Values from the calculation:
The value obtained for the formation energy is 2.403 eV/f.u. As for the space-group type: Amm2 (38). The relative energy among the computed polymorphs comes out at 0 meV/atom.

a = 6.5992 Å, b = 6.5992 Å, c = 10.6343 Å
α = 90.00°, β = 90.00°, γ = 122.26°
Site moments in Bohr magnetons follow the coordinates.
Atoms (fractional coordinates):
Mg 0.1672 0.3207 0.2442  0.00
Mg 0.3408 0.1731 0.0000  0.00
Mg 0.3362 0.6638 0.0000  0.00
Mg 0.1646 0.8354 0.7713  0.00
Mg 0.8334 0.1666 0.0000  0.00
Mg 0.8154 0.6839 0.5000  -0.01
Mg 0.8269 0.6592 0.0000  0.00
Mg 0.6793 0.8328 0.7558  0.00
Mg 0.1646 0.8354 0.2287  0.00
Mg 0.6779 0.3221 0.7304  0.00
Mg 0.1672 0.3207 0.7558  0.00
Mg 0.3161 0.1846 0.5000  -0.01
Mg 0.6793 0.8328 0.2442  0.00
Mg 0.6779 0.3221 0.2696  0.00
Ba 0.3123 0.6877 0.5000  0.02
V 0.8408 0.1592 0.5000  2.71



Here is a geometry-optimized BaMg2V structure from the Alexandria database. Energies are from PBE.

Values from the calculation:
The value obtained for the formation energy is 2.016 eV/f.u. As for the space-group type: Fm-3m (225). The relative energy among the computed polymorphs comes out at 0 meV/atom.

a = 5.4399 Å, b = 5.4399 Å, c = 5.4399 Å
α = 60.00°, β = 60.00°, γ = 60.00°
Site moments in Bohr magnetons follow the coordinates.
Atoms (fractional coordinates):
Mg 0.7500 0.7500 0.7500  0.00
Mg 0.2500 0.2500 0.2500  0.00
Ba 0.5000 0.5000 0.5000  0.05
V 0.0000 0.0000 0.0000  2.88



Here is a geometry-optimized BaMgV2 structure from the Alexandria database. Energies are from PBE.

Values from the calculation:
The value obtained for the formation energy is 4.396 eV/f.u. As for the space-group type: I4_1/amd (141).

a = 4.6149 Å, b = 4.6149 Å, c = 11.0778 Å
α = 77.98°, β = 77.98°, γ = 90.00°
Site moments in Bohr magnetons follow the coordinates.
Atoms (fractional coordinates):
Ba 0.7500 0.2500 0.5000  0.04
Ba 0.0000 0.0000 0.0000  0.04
V 0.3750 0.1250 0.2500  0.76
V 0.8750 0.6250 0.7500  0.76
V 0.3750 0.6250 0.2500  0.76
V 0.3750 0.6250 0.7500  0.76
Mg 0.2500 0.7500 0.5000  0.00
Mg 0.5000 0.5000 0.0000  0.00



Here is a geometry-optimized BaMg2VW structure from the Alexandria database. Energies are from PBE.

Values from the calculation:
The value obtained for the formation energy is 8.789 eV/f.u. As for the space-group type: P4/mmm (123).

a = 5.2789 Å, b = 5.7220 Å, c = 5.2789 Å
α = 90.00°, β = 90.00°, γ = 90.00°
Site moments in Bohr magnetons follow the coordinates.
Atoms (fractional coordinates):
Mg 0.0000 0.0000 0.5000  0.03
Mg 0.5000 0.0000 0.0000  0.04
Ba 0.0000 0.5000 0.0000  0.17
V 0.0000 0.0000 0.0000  3.05
W 0.5000 0.5000 0.5000  -3.08



Here is a geometry-optimized Ba2MgVW structure from the Alexandria database. Energies are from PBE.

Values from the calculation:
The value obtained for the formation energy is 9.518 eV/f.u. As for the space-group type: P4/mmm (123).

a = 5.8787 Å, b = 5.1875 Å, c = 5.8787 Å
α = 90.00°, β = 90.00°, γ = 90.00°
Site moments in Bohr magnetons follow the coordinates.
Atoms (fractional coordinates):
Ba 0.5000 0.0000 0.0000  0.09
Ba 0.0000 0.0000 0.5000  0.13
Mg 0.0000 0.5000 0.0000  0.02
W 0.5000 0.5000 0.5000  0.75
V 0.0000 0.0000 0.0000  2.94



Here is a geometry-optimized BaMgW structure from the Alexandria database. Energies are from PBE.

Values from the calculation:
The value obtained for the formation energy is 3.232 eV/f.u. As for the space-group type: P3m1 (156). The relative energy among the computed polymorphs comes out at 136 meV/atom.

a = 3.1291 Å, b = 3.1291 Å, c = 8.6779 Å
α = 90.00°, β = 90.00°, γ = 120.00°
Atoms (fractional coordinates):
W 0.3333 0.6667 0.6429
Mg 0.6667 0.3333 0.3761
Ba 0.0000 0.0000 0.9810



Here is a geometry-optimized BaMgW structure from the Alexandria database. Energies are from PBE.

Values from the calculation:
The value obtained for the formation energy is 6.033 eV/f.u. As for the space-group type: F-43m (216). The relative energy among the computed polymorphs comes out at 1070 meV/atom.

a = 5.4090 Å, b = 5.4090 Å, c = 5.4090 Å
α = 60.00°, β = 60.00°, γ = 60.00°
Site moments in Bohr magnetons follow the coordinates.
Atoms (fractional coordinates):
Ba 0.7500 0.7500 0.7500  0.12
W 0.5000 0.5000 0.5000  2.82
Mg 0.0000 0.0000 0.0000  -0.02



Here is a geometry-optimized BaMgW structure from the Alexandria database. Energies are from PBE.

Values from the calculation:
The value obtained for the formation energy is 2.823 eV/f.u. As for the space-group type: I4mm (107). The relative energy among the computed polymorphs comes out at 0 meV/atom.

a = 8.3448 Å, b = 8.3447 Å, c = 3.0377 Å
α = 79.51°, β = 79.51°, γ = 20.97°
Atoms (fractional coordinates):
W 0.6827 0.6827 0.3173
Mg 0.3073 0.3073 0.6927
Ba 0.0100 0.0100 0.9900



Here is a geometry-optimized BaMgW structure from the Alexandria database. Energies are from PBE.

Values from the calculation:
The value obtained for the formation energy is 3.222 eV/f.u. As for the space-group type: Imm2 (44). The relative energy among the computed polymorphs comes out at 133 meV/atom.

a = 6.5209 Å, b = 6.5209 Å, c = 6.5209 Å
α = 152.73°, β = 141.37°, γ = 47.93°
Atoms (fractional coordinates):
W 0.7012 0.7012 0.0000
Ba 0.0058 0.0058 0.0000
Mg 0.2930 0.2930 0.0000



| no. | calculated total energy (eV per atom) |
| --- | --- |
| 1 | -2.293 |
| 2 | -2.289 |
| 3 | -2.776 |
| 4 | -1.932 |
| 5 | -1.935 |
| 6 | -3.054 |
| 7 | -4.340 |
| 8 | -3.679 |
| 9 | -3.599 |
| 10 | -4.413 |
| 11 | -3.479 |
| 12 | -4.549 |
| 13 | -4.416 |